Record 1
Entry from Alexandria via LeMat-Bulk: a geometry-optimized CdSn2Pt2 structure (PBE).

```
5
Lattice="4.360 0.000 0.000 0.000 4.360 0.000 2.180 2.180 5.937" Properties=species:S:1:pos:R:3 pbc="T T T"
Cd 0.000 0.000 0.000
Sn 2.180 4.360 2.968
Pt 2.180 2.180 1.330
Sn 4.360 2.180 2.968
Pt 4.360 4.360 4.607
```

density of states at the Fermi level: 0.535 states/eV per atom
excess energy over the best structure of this formula in the dataset: 253 meV/atom
energy relative to the elements: -157 meV per atom
size of the total moment: 0.00 Bohr magnetons per cell
VASP energy: -0.320 Ry/atom
space group: I4/mmm, No. 139

=====

Record 2
Entry from Alexandria via LeMat-Bulk: a geometry-optimized Cd2Sn2Pt structure (PBE).

```
5
Lattice="-2.059 -2.804 -1.941 3.152 -0.701 -2.333 3.098 -7.129 2.925" Properties=species:S:1:pos:R:3 pbc="T T T"
Sn 0.792 -5.843 -0.576
Pt 0.000 0.000 0.000
Cd 3.206 -7.958 -0.081
Cd 0.985 -2.676 -1.267
Sn 3.398 -4.791 -0.772
```

density of states at the Fermi level: 0.431 states/eV per atom
excess energy over the best structure of this formula in the dataset: 386 meV/atom
energy relative to the elements: 331 meV per atom
size of the total moment: 0.00 Bohr magnetons per cell
VASP energy: -0.209 Ry/atom
space group: I4/mmm, No. 139

=====

Record 3
Entry from Alexandria via LeMat-Bulk: a geometry-optimized Cd2SnPt structure (PBE).

```
8
Lattice="8.761 0.000 0.000 0.000 8.761 0.000 4.380 4.380 2.586" Properties=species:S:1:pos:R:3 pbc="T T T"
Sn 4.380 8.761 1.293
Pt 0.000 0.000 0.000
Cd 6.571 5.954 1.940
Pt 8.761 4.380 1.293
Cd 10.951 11.568 1.940
Sn 4.380 4.380 0.000
Cd 7.188 2.190 0.647
Cd 1.573 6.571 0.647
```

density of states at the Fermi level: 0.476 states/eV per atom
energy relative to the elements: -32 meV per atom
size of the total moment: 0.00 Bohr magnetons per cell
VASP energy: -0.221 Ry/atom
space group: I-42d, No. 122